Entry from the Alexandria database: crystalline NaLi4Sb4 at its relaxed geometry (PBE).

## Properties
- Total energy: -3.12 eV per atom
- M_tot: 0.0 Bohr magnetons per cell
- E_form (uncorrected): -287 meV/atom

Lattice parameters (Å, degrees): 9.2972 9.2972 5.6377 90.00 90.00 90.00
Closest atoms and distances in Å follow each position.
Sites, in units of the cell vectors:
Na 0.2500 0.2500 0.2500  4 Sb 3.38
Na 0.7500 0.7500 0.7500  4 Sb 3.38
Li 0.0881 0.6188 0.1288  5 Sb 2.80-2.90, 1 Li 3.11
Li 0.1188 0.9119 0.6288  5 Sb 2.80-2.90, 1 Li 3.11
Li 0.3812 0.5881 0.6288  5 Sb 2.80-2.90, 1 Li 3.11
Li 0.4119 0.8812 0.1288  5 Sb 2.80-2.90, 1 Li 3.11
Li 0.5881 0.1188 0.8712  5 Sb 2.80-2.90, 1 Li 3.11
Li 0.6188 0.4119 0.3712  5 Sb 2.80-2.90, 1 Li 3.11
Li 0.8812 0.0881 0.3712  5 Sb 2.80-2.90, 1 Li 3.11
Li 0.9119 0.3812 0.8712  5 Sb 2.80-2.90, 1 Li 3.11
Sb 0.0745 0.6030 0.6342  5 Li 2.80-2.90, 1 Sb 2.81
Sb 0.1030 0.9255 0.1342  5 Li 2.80-2.90, 1 Sb 2.81
Sb 0.3970 0.5745 0.1342  5 Li 2.80-2.90, 1 Sb 2.81
Sb 0.4255 0.8970 0.6342  5 Li 2.80-2.90, 1 Sb 2.81
Sb 0.5745 0.1030 0.3658  5 Li 2.80-2.90, 1 Sb 2.81
Sb 0.6030 0.4255 0.8658  5 Li 2.80-2.90, 1 Sb 2.81
Sb 0.8970 0.0745 0.8658  5 Li 2.80-2.90, 1 Sb 2.81
Sb 0.9255 0.3970 0.3658  5 Li 2.80-2.90, 1 Sb 2.81